Computed, not measured: an optimized crystal structure of Be2CrRh2 at the GGA-PBE level of DFT.

Calculated values
- E_tot (eV for the cell shown) = -64.6
- N(E_F) (states/eV per atom) = 0.932
- formation enthalpy at 0 K (kJ/mol of formula units) = -51
- energy above the lowest structure with this stoichiometry (meV/atom) = 287
- space group = P4/mbm

abc: 6.552 6.552 2.720
angles: 90.00 90.00 90.00
Atoms (fractional coordinates):
Cr1 0.000 0.000 0.000
Cr2 0.500 0.500 0.000
Be1 0.651 0.849 0.500
Be2 0.151 0.651 0.500
Be3 0.349 0.151 0.500
Be4 0.849 0.349 0.500
Rh1 0.853 0.647 0.000
Rh2 0.353 0.853 0.000
Rh3 0.147 0.353 0.000
Rh4 0.647 0.147 0.000